1.
NdSmTlHg: optimized geometry, PBE-GGA.

Structure (extended XYZ):
```
4
Lattice="0.0000 3.8565 3.8565 3.8565 0.0000 3.8565 3.8565 3.8565 0.0000" Properties=species:S:1:pos:R:3 pbc="T T T"
Nd 0.0000 0.0000 0.0000
Sm 3.8565 3.8565 3.8565
Tl 1.9282 1.9282 1.9282
Hg 5.7847 5.7847 5.7847
```

Results
The density of states at the Fermi level comes out at 0.951 states/eV/atom. For the formation energy, the calculation gives -429 meV per atom. The symmetry is No. 216.

2.
ZnAg2Ge2: optimized geometry, PBE-GGA.

Structure (extended XYZ):
```
10
Lattice="7.7566 0.0000 0.0000 0.0000 7.7566 0.0000 0.0000 0.0000 3.1876" Properties=species:S:1:pos:R:3 pbc="T T T"
Zn 0.0000 0.0000 0.0000
Zn 3.8783 3.8783 0.0000
Ag 1.0140 2.8642 0.0000
Ag 2.8642 6.7425 0.0000
Ag 4.8923 1.0140 0.0000
Ag 6.7425 4.8923 0.0000
Ge 1.3274 5.2057 1.5938
Ge 2.5509 1.3274 1.5938
Ge 5.2057 6.4292 1.5938
Ge 6.4292 2.5509 1.5938
```

Results
The density of states at the Fermi level comes out at 0.347 states/eV/atom. For the formation energy, the calculation gives 281 meV per atom. Its energy above the most stable polymorph in this dataset is 17.7 meV per atom. The symmetry is No. 127.

3.
Pm8As4PSe3: optimized geometry, PBE-GGA.

Structure (extended XYZ):
```
16
Lattice="4.2144 2.4332 6.8753 -4.2144 2.4332 6.8753 0.0000 -4.8664 6.8753" Properties=species:S:1:pos:R:3 pbc="T T T"
Pm -2.1549 -1.2441 12.0110
Pm 0.0000 0.0000 5.0880
Pm 0.0000 -2.4882 8.6148
Pm -2.1549 1.2441 8.6148
Pm 2.1549 -1.2441 12.0110
Pm 0.0000 2.4882 12.0110
Pm 0.0000 0.0000 15.5378
Pm 2.1549 1.2441 8.6148
As -4.2144 0.0000 10.3129
As -2.1072 1.2166 3.4376
As 2.1072 1.2166 3.4376
As 0.0000 0.0000 10.3129
P 0.0000 0.0000 0.0000
Se -2.1072 -1.2166 6.8753
Se -2.1072 1.2166 13.7505
Se 0.0000 2.4332 6.8753
```

Results
The density of states at the Fermi level comes out at 0.298 states/eV/atom. For the energy relative to the elements, uncorrected, the calculation gives -165 kJ/mol of atoms. The symmetry is No. 166.